(1)
Density functional theory data (PBE-GGA) for an optimized crystal structure of K2MnRu.

Summary:
For the volume, the calculation gives 94.35 Å³/f.u. The density comes out at 4.12 Mg/m³. The crystal system is orthorhombic. The total energy comes out at -3.885 eV per atom. For the energy of formation, the calculation gives 1.2749 eV/atom.

Structure (CIF):
```
data_K2MnRu
_space_group_name_H-M_alt 'P m m m'
_space_group_IT_number 47
_space_group_name_Hall '-P 2 2'
_cell_length_a 2.891
_cell_length_b 5.648
_cell_length_c 5.779
_cell_angle_alpha 90.00
_cell_angle_beta 90.00
_cell_angle_gamma 90.00
loop_
_atom_site_label
_atom_site_type_symbol
_atom_site_fract_x
_atom_site_fract_y
_atom_site_fract_z
K1 K 0.000 0.000 0.244
Mn1 Mn 0.500 0.500 0.500
Ru1 Ru 0.500 0.500 0.000
```

(2)
Density functional theory data (PBE-GGA) for an optimized crystal structure of KMn2Ru.

Summary:
For the volume, the calculation gives 76.44 Å³/f.u. The density comes out at 5.43 Mg/m³. The crystal system is monoclinic. The total energy comes out at -6.332 eV per atom. For the energy of formation, the calculation gives 0.8462 eV/atom.

Structure (CIF):
```
data_KMn2Ru
_space_group_name_H-M_alt 'P 1 2/m 1'
_space_group_IT_number 10
_space_group_name_Hall '-P 2y'
_cell_length_a 2.652
_cell_length_b 4.049
_cell_length_c 7.117
_cell_angle_alpha 90.00
_cell_angle_beta 90.42
_cell_angle_gamma 90.00
loop_
_atom_site_label
_atom_site_type_symbol
_atom_site_fract_x
_atom_site_fract_y
_atom_site_fract_z
K1 K 0.000 0.000 0.000
Mn1 Mn 0.003 0.500 0.635
Ru1 Ru 0.500 0.000 0.500
```

(3)
Density functional theory data (PBE-GGA) for an optimized crystal structure of KMnRu2.

Summary:
For the volume, the calculation gives 72.86 Å³/f.u. The density comes out at 6.75 Mg/m³. The crystal system is orthorhombic. The total energy comes out at -6.513 eV per atom. For the energy of formation, the calculation gives 0.6921 eV/atom.

Structure (CIF):
```
data_KMnRu2
_space_group_name_H-M_alt 'P m m m'
_space_group_IT_number 47
_space_group_name_Hall '-P 2 2'
_cell_length_a 2.924
_cell_length_b 2.963
_cell_length_c 8.410
_cell_angle_alpha 90.00
_cell_angle_beta 90.00
_cell_angle_gamma 90.00
loop_
_atom_site_label
_atom_site_type_symbol
_atom_site_fract_x
_atom_site_fract_y
_atom_site_fract_z
K1 K 0.000 0.000 0.000
Mn1 Mn 0.000 0.000 0.500
Ru1 Ru 0.500 0.500 0.331
```